Entry 1:
This record from Alexandria describes an optimized crystal structure of K2CdHg2. The functional is GGA-PBE.

CIF file:
```
data_K2CdHg2
_chemical_formula_sum 'K4 Cd2 Hg4'
_cell_length_a 11.8090
_cell_length_b 6.5590
_cell_length_c 5.0117
_cell_angle_alpha 90.00
_cell_angle_beta 114.79
_cell_angle_gamma 90.00
_space_group_name_H-M_alt 'C 1 2/m 1'
_space_group_IT_number 12
loop_
_space_group_symop_operation_xyz
'x,y,z'
'-x,-y,-z'
'-x,y,-z'
'x,-y,z'
'x+1/2,y+1/2,z'
'-x+1/2,-y+1/2,-z'
'-x+1/2,y+1/2,-z'
'x+1/2,-y+1/2,z'
loop_
_atom_site_label
_atom_site_type_symbol
_atom_site_fract_x
_atom_site_fract_y
_atom_site_fract_z
K1 K 0.1981 0.0000 0.1972
Cd1 Cd 0.0000 0.5000 0.0000
Hg1 Hg 0.0000 0.2396 0.5000
```

## Properties
ρ ... 5.577 g cm⁻³
Density of states at the Fermi level ... 2.8 states/eV per cell
Energy ... -9.55 eV for the cell shown

Entry 2:
This record from Alexandria describes an optimized crystal structure of NbOsN2O. The functional is GGA-PBE.

CIF file:
```
data_NbOsN2O
_chemical_formula_sum 'Nb1 Os1 N2 O1'
_cell_length_a 3.8528
_cell_length_b 3.8528
_cell_length_c 3.8777
_cell_angle_alpha 90.00
_cell_angle_beta 90.00
_cell_angle_gamma 90.00
_space_group_name_H-M_alt 'P 4/m m m'
_space_group_IT_number 123
_space_group_name_Hall '-P 4 2'
loop_
_atom_site_label
_atom_site_type_symbol
_atom_site_fract_x
_atom_site_fract_y
_atom_site_fract_z
Nb1 Nb 0.0000 0.0000 0.0000
Os1 Os 0.5000 0.5000 0.5000
N1 N 0.0000 0.5000 0.5000
O1 O 0.5000 0.5000 0.0000
```

## Properties
Uncorrected formation energy ... 0.476 eV/atom
ρ ... 9.438 g cm⁻³
Density of states at the Fermi level ... 4.2 states/eV per cell
Energy ... -40.53 eV for the cell shown

Entry 3:
This record from Alexandria describes an optimized crystal structure of SrCr2W. The functional is GGA-PBE.

CIF file:
```
data_SrCr2W
_chemical_formula_sum 'Sr1 Cr2 W1'
_cell_length_a 2.9886
_cell_length_b 3.6879
_cell_length_c 7.1687
_cell_angle_alpha 90.00
_cell_angle_beta 98.00
_cell_angle_gamma 90.00
_space_group_name_H-M_alt 'P 1 m 1'
_space_group_IT_number 6
loop_
_space_group_symop_operation_xyz
'x,y,z'
'x,-y,z'
loop_
_atom_site_label
_atom_site_type_symbol
_atom_site_fract_x
_atom_site_fract_y
_atom_site_fract_z
Sr1 Sr 0.0000 0.0000 0.0000
Cr1 Cr 0.1316 0.0000 0.5244
Cr2 Cr 0.4942 0.5000 0.6622
W1 W 0.6494 0.5000 0.3618
```

## Properties
ρ ... 7.968 g cm⁻³
Density of states at the Fermi level ... 3.1 states/eV per cell
Energy ... -30.67 eV for the cell shown

Entry 4:
This record from Alexandria describes an optimized crystal structure of AlNiSn2B. The functional is GGA-PBE.

CIF file:
```
data_AlNiSn2B
_chemical_formula_sum 'Al1 Ni1 Sn2 B1'
_cell_length_a 4.9149
_cell_length_b 4.9149
_cell_length_c 3.8705
_cell_angle_alpha 90.00
_cell_angle_beta 90.00
_cell_angle_gamma 90.00
_space_group_name_H-M_alt 'P 4/m m m'
_space_group_IT_number 123
_space_group_name_Hall '-P 4 2'
loop_
_atom_site_label
_atom_site_type_symbol
_atom_site_fract_x
_atom_site_fract_y
_atom_site_fract_z
Al1 Al 0.0000 0.0000 0.0000
Ni1 Ni 0.5000 0.5000 0.0000
Sn1 Sn 0.0000 0.5000 0.5000
B1 B 0.5000 0.5000 0.5000
```

## Properties
ρ ... 5.930 g cm⁻³
Density of states at the Fermi level ... 2.5 states/eV per cell
Energy ... -21.93 eV for the cell shown

Entry 5:
This record from Alexandria describes an optimized crystal structure of MgSnHg4. The functional is GGA-PBE.

CIF file:
```
data_MgSnHg4
_chemical_formula_sum 'Mg1 Sn1 Hg4'
_cell_length_a 3.2290
_cell_length_b 3.2290
_cell_length_c 14.0853
_cell_angle_alpha 90.00
_cell_angle_beta 90.05
_cell_angle_gamma 90.00
_space_group_name_H-M_alt 'P 1 2/m 1'
_space_group_IT_number 10
loop_
_space_group_symop_operation_xyz
'x,y,z'
'-x,-y,-z'
'-x,y,-z'
'x,-y,z'
loop_
_atom_site_label
_atom_site_type_symbol
_atom_site_fract_x
_atom_site_fract_y
_atom_site_fract_z
Mg1 Mg 0.0000 0.0000 0.0000
Sn1 Sn 0.5000 0.5000 0.5000
Hg1 Hg 0.0002 0.0000 0.3173
Hg2 Hg 0.5002 0.5000 0.1417
```

## Properties
ρ ... 10.689 g cm⁻³
Density of states at the Fermi level ... 2.2 states/eV per cell
Energy ... -6.82 eV for the cell shown

Entry 6:
This record from Alexandria describes an optimized crystal structure of SiNiP. The functional is GGA-PBE.

CIF file:
```
data_SiNiP
_chemical_formula_sum 'Si1 Ni1 P1'
_cell_length_a 3.0591
_cell_length_b 3.0591
_cell_length_c 4.8303
_cell_angle_alpha 90.00
_cell_angle_beta 90.00
_cell_angle_gamma 120.00
_space_group_name_H-M_alt 'P 3 m 1'
_space_group_IT_number 156
loop_
_space_group_symop_operation_xyz
'x,y,z'
'-y,x-y,z'
'-x+y,-x,z'
'-y,-x,z'
'-x+y,y,z'
'x,x-y,z'
loop_
_atom_site_label
_atom_site_type_symbol
_atom_site_fract_x
_atom_site_fract_y
_atom_site_fract_z
Si1 Si 0.0000 0.0000 0.0000
Ni1 Ni 0.6667 0.3333 0.3310
P1 P 0.3333 0.6667 0.6400
```

## Properties
Uncorrected formation energy ... -0.110 eV/atom
ρ ... 4.995 g cm⁻³
Density of states at the Fermi level ... 0.8 states/eV per cell
Energy ... -16.94 eV for the cell shown

Entry 7:
This record from Alexandria describes an optimized crystal structure of In2SbTe. The functional is GGA-PBE.

CIF file:
```
data_In2SbTe
_chemical_formula_sum 'In4 Sb2 Te2'
_cell_length_a 13.1173
_cell_length_b 3.7657
_cell_length_c 5.1191
_cell_angle_alpha 90.00
_cell_angle_beta 112.81
_cell_angle_gamma 90.00
_space_group_name_H-M_alt 'C 1 2/m 1'
_space_group_IT_number 12
loop_
_space_group_symop_operation_xyz
'x,y,z'
'-x,-y,-z'
'-x,y,-z'
'x,-y,z'
'x+1/2,y+1/2,z'
'-x+1/2,-y+1/2,-z'
'-x+1/2,y+1/2,-z'
'x+1/2,-y+1/2,z'
loop_
_atom_site_label
_atom_site_type_symbol
_atom_site_fract_x
_atom_site_fract_y
_atom_site_fract_z
In1 In 0.2242 0.0000 0.2242
Sb1 Sb 0.0000 0.5000 0.0000
Te1 Te 0.0000 0.0000 0.5000
```

## Properties
Uncorrected formation energy ... 0.027 eV/atom
ρ ... 6.825 g cm⁻³
Density of states at the Fermi level ... 3.2 states/eV per cell
Energy ... -25.27 eV for the cell shown

Entry 8:
This record from Alexandria describes an optimized crystal structure of Mg2Cu2Ge. The functional is GGA-PBE.

CIF file:
```
data_Mg2Cu2Ge
_chemical_formula_sum 'Mg8 Cu8 Ge4'
_cell_length_a 9.0515
_cell_length_b 5.5951
_cell_length_c 6.8164
_cell_angle_alpha 90.00
_cell_angle_beta 109.37
_cell_angle_gamma 90.00
_space_group_name_H-M_alt 'C 1 2/c 1'
_space_group_IT_number 15
loop_
_space_group_symop_operation_xyz
'x,y,z'
'-x,-y,-z'
'-x,y,-z+1/2'
'x,-y,z+1/2'
'x+1/2,y+1/2,z'
'-x+1/2,-y+1/2,-z'
'-x+1/2,y+1/2,-z+1/2'
'x+1/2,-y+1/2,z+1/2'
loop_
_atom_site_label
_atom_site_type_symbol
_atom_site_fract_x
_atom_site_fract_y
_atom_site_fract_z
Mg1 Mg 0.1647 0.1011 0.1490
Cu1 Cu 0.1154 0.3529 0.4649
Ge1 Ge 0.0000 0.2926 0.7500
```

## Properties
ρ ... 5.065 g cm⁻³
Density of states at the Fermi level ... 5.5 states/eV per cell
Energy ... -67.18 eV for the cell shown

Entry 9:
This record from Alexandria describes an optimized crystal structure of BeGeMo2. The functional is GGA-PBE.

CIF file:
```
data_BeGeMo2
_chemical_formula_sum 'Be4 Ge4 Mo8'
_cell_length_a 3.6847
_cell_length_b 3.6847
_cell_length_c 18.2126
_cell_angle_alpha 90.00
_cell_angle_beta 90.00
_cell_angle_gamma 90.00
_space_group_name_H-M_alt 'I -4 2 d'
_space_group_IT_number 122
_space_group_name_Hall 'I -4 2bw'
loop_
_atom_site_label
_atom_site_type_symbol
_atom_site_fract_x
_atom_site_fract_y
_atom_site_fract_z
Be1 Be 0.0000 0.0000 0.0000
Ge1 Ge 0.0000 0.0000 0.5000
Mo1 Mo 0.2312 0.2500 0.1250
```

## Properties
ρ ... 7.347 g cm⁻³
Density of states at the Fermi level ... 14.5 states/eV per cell
Energy ... -112.40 eV for the cell shown

Entry 10:
This record from Alexandria describes an optimized crystal structure of Tl2Ga2Bi. The functional is GGA-PBE.

CIF file:
```
data_Tl2Ga2Bi
_chemical_formula_sum 'Tl4 Ga4 Bi2'
_cell_length_a 7.6196
_cell_length_b 7.6196
_cell_length_c 4.8019
_cell_angle_alpha 90.00
_cell_angle_beta 90.00
_cell_angle_gamma 90.00
_space_group_name_H-M_alt 'P 4/m b m'
_space_group_IT_number 127
_space_group_name_Hall '-P 4 2ab'
loop_
_atom_site_label
_atom_site_type_symbol
_atom_site_fract_x
_atom_site_fract_y
_atom_site_fract_z
Tl1 Tl 0.1791 0.3209 0.0000
Ga1 Ga 0.1242 0.6242 0.5000
Bi1 Bi 0.0000 0.0000 0.5000
```

## Properties
ρ ... 9.020 g cm⁻³
Density of states at the Fermi level ... 5.3 states/eV per cell
Energy ... -28.85 eV for the cell shown

Entry 11:
This record from Alexandria describes an optimized crystal structure of Ba2NaGa. The functional is GGA-PBE.

CIF file:
```
data_Ba2NaGa
_chemical_formula_sum 'Ba6 Na3 Ga3'
_cell_length_a 4.4147
_cell_length_b 4.4147
_cell_length_c 33.5758
_cell_angle_alpha 90.00
_cell_angle_beta 90.00
_cell_angle_gamma 120.00
_space_group_name_H-M_alt 'R 3 m'
_space_group_IT_number 160
_space_group_name_Hall 'R 3 -2"'
loop_
_atom_site_label
_atom_site_type_symbol
_atom_site_fract_x
_atom_site_fract_y
_atom_site_fract_z
Ba1 Ba 0.0000 0.0000 0.0000
Ba2 Ba 0.0000 0.0000 0.1999
Na1 Na 0.0000 0.0000 0.7662
Ga1 Ga 0.0000 0.0000 0.6000
```

## Properties
ρ ... 3.229 g cm⁻³
Density of states at the Fermi level ... 7.8 states/eV per cell
Energy ... -25.43 eV for the cell shown

Entry 12:
This record from Alexandria describes an optimized crystal structure of ZrNi2Hg. The functional is GGA-PBE.

CIF file:
```
data_ZrNi2Hg
_chemical_formula_sum 'Zr4 Ni8 Hg4'
_cell_length_a 7.0424
_cell_length_b 7.0424
_cell_length_c 5.6908
_cell_angle_alpha 90.00
_cell_angle_beta 90.00
_cell_angle_gamma 90.00
_space_group_name_H-M_alt 'I -4 2 d'
_space_group_IT_number 122
_space_group_name_Hall 'I -4 2bw'
loop_
_atom_site_label
_atom_site_type_symbol
_atom_site_fract_x
_atom_site_fract_y
_atom_site_fract_z
Zr1 Zr 0.0000 0.0000 0.0000
Ni1 Ni 0.2414 0.2500 0.1250
Hg1 Hg 0.0000 0.0000 0.5000
```

## Properties
ρ ... 9.630 g cm⁻³
Density of states at the Fermi level ... 10.0 states/eV per cell
Energy ... -78.08 eV for the cell shown

Question: Which of these has the highest density of states at the Fermi level?
Answer: BeGeMo2